Record 1
# TlAs2BrO

A relaxed structure of TlAs2BrO (PBE-GGA, Alexandria via LeMat-Bulk).

The calculation puts the calculated total energy at -12.1 eV/cell. As for the size of the total moment: 4.0 μB per formula unit. The energy relative to the elements, uncorrected is 1.235 eV/atom. As for the energy above the most stable polymorph in this dataset: 1.205 eV/atom.

It has space group P4/mmm (No. 123), with a = 5.440 Å, b = 5.440 Å, c = 5.910 Å, α = 90.00°, β = 90.00° and γ = 90.00°. The asymmetric unit holds Tl at (0.000, 0.000, 0.000), As at (0.000, 0.500, 0.000), Br at (0.000, 0.000, 0.500) and O at (0.500, 0.500, 0.500).

Record 2
# LiSi3P

A relaxed structure of LiSi3P (PBE-GGA, Alexandria via LeMat-Bulk).

The calculation puts the calculated total energy at -20.2 eV/cell. As for the size of the total moment: 0.0 μB per formula unit. The energy relative to the elements, uncorrected is 0.683 eV/atom. As for the energy above the most stable polymorph in this dataset: 0.000 eV/atom.

It has space group Pm-3m (No. 221), with a = 4.599 Å, b = 4.599 Å, c = 4.599 Å, α = 90.00°, β = 90.00° and γ = 90.00°. The asymmetric unit holds Li at (0.000, 0.000, 0.000), Si at (0.000, 0.500, 0.500) and P at (0.500, 0.500, 0.500).

Record 3
# Li3PmDy2Se6

A relaxed structure of Li3PmDy2Se6 (PBE-GGA, Alexandria via LeMat-Bulk).

The calculation puts the calculated total energy at -121.7 eV/cell. As for the size of the total moment: 0.0 μB per formula unit. The energy relative to the elements, uncorrected is -1.688 eV/atom.

It has space group C2/m (No. 12), with a = 7.112 Å, b = 12.321 Å, c = 6.924 Å, α = 90.00°, β = 110.00° and γ = 90.00°. The asymmetric unit holds Li at (0.000, 0.000, 0.000), Li at (0.000, 0.332, 0.000), Pm at (0.000, 0.500, 0.500), Dy at (0.000, 0.167, 0.500), Se at (0.245, 0.000, 0.756) and Se at (0.245, 0.170, 0.246).

Record 4
# Ti2CuP2O10

A relaxed structure of Ti2CuP2O10 (PBE-GGA, Alexandria via LeMat-Bulk).

The calculation puts the calculated total energy at -230.5 eV/cell. As for the size of the total moment: 1.1 μB per formula unit. The energy relative to the elements, uncorrected is -2.329 eV/atom.

It has space group P2_1/c (No. 14), with a = 7.151 Å, b = 7.909 Å, c = 7.391 Å, α = 90.00°, β = 119.42° and γ = 90.00°. The asymmetric unit holds Ti at (0.238, 0.218, 0.035), Cu at (0.500, 0.000, 0.500), P at (0.250, 0.598, 0.247), O at (0.058, 0.709, 0.100), O at (0.191, 0.010, 0.886), O at (0.276, 0.147, 0.276), O at (0.312, 0.028, 0.621) and O at (0.444, 0.713, 0.375).

Record 5
# K3Pm2BiSe6

A relaxed structure of K3Pm2BiSe6 (PBE-GGA, Alexandria via LeMat-Bulk).

The calculation puts the calculated total energy at -109.8 eV/cell. As for the size of the total moment: 0.0 μB per formula unit. The energy relative to the elements, uncorrected is -1.441 eV/atom.

It has space group C2/m (No. 12), with a = 7.488 Å, b = 12.969 Å, c = 8.102 Å, α = 90.00°, β = 107.94° and γ = 90.00°. The asymmetric unit holds K at (0.000, 0.000, 0.000), K at (0.000, 0.335, 0.000), Pm at (0.000, 0.167, 0.500), Bi at (0.000, 0.500, 0.500), Se at (0.235, 0.000, 0.710) and Se at (0.238, 0.333, 0.711).

Record 6
# Ho2ScNi

A relaxed structure of Ho2ScNi (PBE-GGA, Alexandria via LeMat-Bulk).

The calculation puts the calculated total energy at -21.9 eV/cell. As for the size of the total moment: 0.0 μB per formula unit. As for the formation energy from the elements: -0.6 eV per formula unit. As for the energy above the most stable polymorph in this dataset: 0.090 eV/atom.

It has space group P4/mmm (No. 123), with a = 3.418 Å, b = 3.418 Å, c = 8.056 Å, α = 90.00°, β = 90.00° and γ = 90.00°. The asymmetric unit holds Ho at (0.000, 0.000, 0.200), Sc at (0.500, 0.500, 0.500) and Ni at (0.500, 0.500, 0.000).

Record 7
# Pr4Y3Tm2

A relaxed structure of Pr4Y3Tm2 (PBE-GGA, Alexandria via LeMat-Bulk).

The calculation puts the calculated total energy at -188.2 eV/cell. As for the size of the total moment: 0.0 μB per formula unit. As for the formation energy from the elements: 0.4 eV per formula unit. As for the energy above the most stable polymorph in this dataset: 0.000 eV/atom.

It has space group Cccm (No. 66), with a = 9.841 Å, b = 17.139 Å, c = 7.143 Å, α = 90.00°, β = 90.00° and γ = 90.00°. The asymmetric unit holds Pr at (0.165, 0.013, 0.000), Pr at (0.184, 0.339, 0.500), Y at (0.000, 0.172, 0.250), Y at (0.000, 0.500, 0.250) and Tm at (0.150, 0.327, 0.000).

Record 8
# TiHRh2

A relaxed structure of TiHRh2 (PBE-GGA, Alexandria via LeMat-Bulk).

The calculation puts the calculated total energy at -110.1 eV/cell. As for the size of the total moment: 0.0 μB per formula unit. As for the energy above the most stable polymorph in this dataset: 0.000 eV/atom.

It has space group I-42d (No. 122), with a = 6.072 Å, b = 6.072 Å, c = 5.144 Å, α = 90.00°, β = 90.00° and γ = 90.00°. The asymmetric unit holds Ti at (0.000, 0.000, 0.000), H at (0.000, 0.000, 0.500) and Rh at (0.155, 0.250, 0.625).